Entry 1:
Compound: LaAlSi2
Source: Alexandria via LeMat-Bulk
Functional: SCAN
Structure: single point on PBEsol structure

Calculated values
D(E_F)	2.1	states/eV per cell
E	-18.2630	eV/atom

Lattice parameters (Å, degrees): 4.1527 4.1527 11.2869 90.00 90.00 120.00
Space group P-3m1 (No. 164)
One atom of each set of equivalent atoms:
La 0.0000 0.0000 0.1837
Al 0.3333 0.6667 0.5825
Si 0.3333 0.6667 0.3557
Si 0.3333 0.6667 0.9950

---

Entry 2:
Compound: CrRuBr
Source: Alexandria via LeMat-Bulk
Functional: SCAN
Structure: single point on PBEsol structure

Calculated values
offset from the most stable computed form	0	meV per atom
D(E_F)	2.3	states/eV per cell
E	-23.3006	eV/atom

Lattice parameters (Å, degrees): 4.0688 4.0688 2.9133 90.00 90.00 120.00
Space group P3m1 (No. 156)
One atom of each set of equivalent atoms:
Cr 0.0000 0.0000 0.0000
Ru 0.3333 0.6667 0.4955
Br 0.6667 0.3333 0.8726

---

| no. | size of the total moment (Bohr magnetons per cell) |
| --- | --- |
| 1 | 0.0 |
| 2 | 1.3 |